The following is a SCAN calculation of La2CSeO at its PBEsol-relaxed geometry, from Alexandria via LeMat-Bulk.

Total magnetization: 0.7 μB per cell
Final energy: -25.079 eV/atom
N(E_F): 0.55 states/eV per atom
Energy relative to the elements, uncorrected: -555 meV/atom
Space-group type: P4/mmm (123)

Cell: 4.0355 4.9342 4.9342 Å, 90.00 90.00 90.00°
With the nearest neighbours (Å) after each atom.
Element x y z (fractional)
La 0.0000 0.0000 0.5000  2 O 2.47
C 0.5000 0.5000 0.5000  8 La 3.19, 4 Se 3.49
O 0.0000 0.0000 0.0000  2 Se 2.02
Se 0.5000 0.0000 0.0000  2 O 2.02
La 0.0000 0.5000 0.0000  2 O 2.47


The following is a SCAN calculation of La7Os4C9 at its PBEsol-relaxed geometry, from Alexandria via LeMat-Bulk.

Total magnetization: 0.0 μB per cell
Final energy: -34.394 eV/atom
N(E_F): 0.37 states/eV per atom
Calculated formation energy: -386 meV per atom
Space-group type: C2/m (12)

Cell: 5.3643 6.5324 11.5475 Å, 76.64 76.57 65.76°
With the nearest neighbours (Å) after each atom.
Element x y z (fractional)
Os 0.4331 0.7046 0.4292  3 C 1.93-2.06
La 0.3738 0.4096 0.8429  7 C 2.66-2.79
La 0.1360 0.3447 0.3834  5 C 2.67-2.76
C 0.1945 0.4660 0.1449  1 C 1.33
C 0.8055 0.5340 0.8551  1 C 1.33
C 0.3920 0.6028 0.6132  2 Os 1.96-2.06
La 0.1483 0.0255 0.6779  4 C 2.59-2.72
C 0.3836 0.9420 0.2908  2 Os 1.92-1.93
La 0.6262 0.5904 0.1571  7 C 2.66-2.79
La 0.8517 0.9745 0.3221  4 C 2.59-2.72
C 0.6080 0.3972 0.3868  2 Os 1.96-2.06
C 0.0754 0.6676 0.1817  1 C 1.33
Os 0.3566 0.1457 0.1411  3 C 1.92
C 0.5000 0.0000 0.0000  2 Os 1.92
La 0.0000 0.0000 0.0000  4 C 2.62-2.68
C 0.6164 0.0580 0.7092  2 Os 1.92-1.93
La 0.8640 0.6553 0.6166  5 C 2.67-2.76
Os 0.5669 0.2954 0.5708  3 C 1.93-2.06
C 0.9246 0.3324 0.8183  1 C 1.33
Os 0.6434 0.8543 0.8589  3 C 1.92


The following is a SCAN calculation of LaOsC2 at its PBEsol-relaxed geometry, from Alexandria via LeMat-Bulk.

Total magnetization: 0.0 μB per cell
Final energy: -32.649 eV/atom
N(E_F): 0.28 states/eV per atom
Calculated formation energy: 1147 meV per atom
Space-group type: Fm-3m (225)

Cell: 4.1540 4.1540 4.1540 Å, 60.00 60.00 60.00°
With the nearest neighbours (Å) after each atom.
Element x y z (fractional)
La 0.0000 0.0000 0.0000  8 C 2.54
Os 0.5000 0.5000 0.5000  8 C 2.54
C 0.7500 0.7500 0.7500  4 Os 2.54, 4 La 2.54
C 0.2500 0.2500 0.2500  4 La 2.54, 4 Os 2.54


The following is a SCAN calculation of La2PPbC at its PBEsol-relaxed geometry, from Alexandria via LeMat-Bulk.

Total magnetization: 0.0 μB per cell
Final energy: -36.762 eV/atom
N(E_F): 0.56 states/eV per atom
Calculated formation energy: -264 meV per atom
Space-group type: P4/mmm (123)

Cell: 4.5247 5.1524 5.1524 Å, 90.00 90.00 90.00°
With the nearest neighbours (Å) after each atom.
Element x y z (fractional)
C 0.0000 0.0000 0.0000  2 Pb 2.26
La 0.0000 0.0000 0.5000  2 C 2.58
La 0.0000 0.5000 0.0000  2 C 2.58
Pb 0.5000 0.0000 0.0000  2 C 2.26
P 0.5000 0.5000 0.5000  8 La 3.43, 4 Pb 3.64


The following is a SCAN calculation of LaPC2S at its PBEsol-relaxed geometry, from Alexandria via LeMat-Bulk.

Total magnetization: 2.4 μB per cell
Final energy: -14.179 eV/atom
N(E_F): 0.74 states/eV per atom
Energy relative to the elements, uncorrected: 2488 meV/atom
Space-group type: P4/mmm (123)

Cell: 4.2435 4.2435 5.9300 Å, 90.00 90.00 90.00°
With the nearest neighbours (Å) after each atom.
Element x y z (fractional)
C 0.0000 0.5000 0.0000  2 La 2.12
P 0.0000 0.0000 0.5000  2 La 2.96, 4 S 3.00
La 0.0000 0.0000 0.0000  4 C 2.12
C 0.5000 0.0000 0.0000  2 La 2.12
S 0.5000 0.5000 0.5000  4 P 3.00


The following is a SCAN calculation of La3PdC at its PBEsol-relaxed geometry, from Alexandria via LeMat-Bulk.

Total magnetization: 0.0 μB per cell
Final energy: -34.643 eV/atom
N(E_F): 1.05 states/eV per atom
Calculated formation energy: -205 meV per atom
Space-group type: Pm-3m (221)

Cell: 5.0517 5.0517 5.0517 Å, 90.00 90.00 90.00°
With the nearest neighbours (Å) after each atom.
Element x y z (fractional)
La 0.0000 0.0000 0.5000  2 C 2.53
Pd 0.5000 0.5000 0.5000  12 La 3.57
C 0.0000 0.0000 0.0000  6 La 2.53
La 0.5000 0.0000 0.0000  2 C 2.53
La 0.0000 0.5000 0.0000  2 C 2.53


The following is a SCAN calculation of LaPd3C at its PBEsol-relaxed geometry, from Alexandria via LeMat-Bulk.

Total magnetization: 1.5 μB per cell
Final energy: -28.299 eV/atom
N(E_F): 0.54 states/eV per atom
Calculated formation energy: 2007 meV per atom
Space-group type: Pm-3m (221)

Cell: 5.0111 5.0111 5.0111 Å, 90.00 90.00 90.00°
With the nearest neighbours (Å) after each atom.
Element x y z (fractional)
Pd 0.0000 0.0000 0.5000  2 La 2.51
Pd 0.0000 0.5000 0.0000  2 La 2.51
Pd 0.5000 0.0000 0.0000  2 La 2.51
La 0.0000 0.0000 0.0000  6 Pd 2.51
C 0.5000 0.5000 0.5000  12 Pd 3.54


The following is a SCAN calculation of LaRePdC2 at its PBEsol-relaxed geometry, from Alexandria via LeMat-Bulk.

Total magnetization: 0.0 μB per cell
Final energy: -33.059 eV/atom
N(E_F): 0.38 states/eV per atom
Calculated formation energy: 376 meV per atom
Space-group type: P4/mmm (123)

Cell: 4.0348 4.0348 5.0050 Å, 90.00 90.00 90.00°
With the nearest neighbours (Å) after each atom.
Element x y z (fractional)
Pd 0.0000 0.0000 0.5000  2 Re 2.50
C 0.0000 0.5000 0.0000  2 Re 2.02
C 0.5000 0.0000 0.0000  2 Re 2.02
La 0.5000 0.5000 0.5000  4 Pd 2.85
Re 0.0000 0.0000 0.0000  4 C 2.02


The following is a SCAN calculation of Rb3LaC at its PBEsol-relaxed geometry, from Alexandria via LeMat-Bulk.

Total magnetization: 1.7 μB per cell
Final energy: -21.172 eV/atom
N(E_F): 1.05 states/eV per atom
Calculated formation energy: 1912 meV per atom
Space-group type: Pm-3m (221)

Cell: 7.0027 7.0027 7.0027 Å, 90.00 90.00 90.00°
With the nearest neighbours (Å) after each atom.
Element x y z (fractional)
Rb 0.5000 0.0000 0.0000  2 La 3.50
Rb 0.0000 0.5000 0.0000  2 La 3.50
Rb 0.0000 0.0000 0.5000  2 La 3.50
La 0.0000 0.0000 0.0000  6 Rb 3.50
C 0.5000 0.5000 0.5000  12 Rb 4.95


The following is a SCAN calculation of RbLa2YC at its PBEsol-relaxed geometry, from Alexandria via LeMat-Bulk.

Total magnetization: 0.0 μB per cell
Final energy: -26.568 eV/atom
N(E_F): 0.63 states/eV per atom
Calculated formation energy: 2410 meV per atom
Space-group type: P4/mmm (123)

Cell: 5.1746 5.4234 5.4234 Å, 90.00 90.00 90.00°
With the nearest neighbours (Å) after each atom.
Element x y z (fractional)
La 0.0000 0.5000 0.0000  2 Rb 2.71
Rb 0.0000 0.0000 0.0000  2 Y 2.59, 4 La 2.71
La 0.0000 0.0000 0.5000  2 Rb 2.71
Y 0.5000 0.0000 0.0000  2 Rb 2.59
C 0.5000 0.5000 0.5000  8 La 3.75, 4 Y 3.83


The following is a SCAN calculation of LaRhC3 at its PBEsol-relaxed geometry, from Alexandria via LeMat-Bulk.

Total magnetization: 0.0 μB per cell
Final energy: -18.174 eV/atom
N(E_F): 0.49 states/eV per atom
Calculated formation energy: 3261 meV per atom
Space-group type: Pm-3m (221)

Cell: 4.2538 4.2538 4.2538 Å, 90.00 90.00 90.00°
With the nearest neighbours (Å) after each atom.
Element x y z (fractional)
C 0.0000 0.5000 0.0000  2 La 2.13
C 0.0000 0.0000 0.5000  2 La 2.13
La 0.0000 0.0000 0.0000  6 C 2.13
Rh 0.5000 0.5000 0.5000  12 C 3.01
C 0.5000 0.0000 0.0000  2 La 2.13


The following is a SCAN calculation of LaRh3C at its PBEsol-relaxed geometry, from Alexandria via LeMat-Bulk.

Total magnetization: 0.0 μB per cell
Final energy: -31.317 eV/atom
N(E_F): 0.15 states/eV per atom
Calculated formation energy: -413 meV per atom
Space-group type: Pm-3m (221)

Cell: 4.1960 4.1960 4.1960 Å, 90.00 90.00 90.00°
With the nearest neighbours (Å) after each atom.
Element x y z (fractional)
Rh 0.0000 0.5000 0.0000  2 C 2.10
C 0.0000 0.0000 0.0000  6 Rh 2.10
Rh 0.5000 0.0000 0.0000  2 C 2.10
La 0.5000 0.5000 0.5000  12 Rh 2.97
Rh 0.0000 0.0000 0.5000  2 C 2.10


The following is a SCAN calculation of LaSc2RhC at its PBEsol-relaxed geometry, from Alexandria via LeMat-Bulk.

Total magnetization: 0.0 μB per cell
Final energy: -22.357 eV/atom
N(E_F): 0.81 states/eV per atom
Calculated formation energy: 733 meV per atom
Space-group type: P4/mmm (123)

Cell: 4.8062 4.8062 5.4270 Å, 90.00 90.00 90.00°
With the nearest neighbours (Å) after each atom.
Element x y z (fractional)
C 0.5000 0.5000 0.5000  4 La 3.40, 8 Sc 3.62
La 0.0000 0.0000 0.5000  2 Rh 2.71
Sc 0.0000 0.5000 0.0000  2 Rh 2.40
Sc 0.5000 0.0000 0.0000  2 Rh 2.40
Rh 0.0000 0.0000 0.0000  4 Sc 2.40


The following is a SCAN calculation of LaSnRu2C at its PBEsol-relaxed geometry, from Alexandria via LeMat-Bulk.

Total magnetization: 0.0 μB per cell
Final energy: -31.419 eV/atom
N(E_F): 0.65 states/eV per atom
Calculated formation energy: 337 meV per atom
Space-group type: P4/mmm (123)

Cell: 4.2224 4.2224 4.7697 Å, 90.00 90.00 90.00°
With the nearest neighbours (Å) after each atom.
Element x y z (fractional)
Ru 0.5000 0.0000 0.0000  2 C 2.11
Ru 0.0000 0.5000 0.0000  2 C 2.11
La 0.5000 0.5000 0.5000  4 Sn 2.99, 8 Ru 3.19
C 0.0000 0.0000 0.0000  4 Ru 2.11
Sn 0.0000 0.0000 0.5000  2 C 2.38


The following is a SCAN calculation of LaC2S at its PBEsol-relaxed geometry, from Alexandria via LeMat-Bulk.

Total magnetization: 0.0 μB per cell
Final energy: -17.469 eV/atom
N(E_F): 0.30 states/eV per atom
Energy relative to the elements, uncorrected: 765 meV/atom
Space-group type: I-42d (122)

Cell: 5.1713 5.1713 5.1713 Å, 104.08 112.23 112.23°
With the nearest neighbours (Å) after each atom.
Element x y z (fractional)
C 0.3786 0.8750 0.7536  2 S 1.81
C 0.8786 0.5036 0.1250  2 S 1.81
S 0.5000 0.2500 0.7500  4 C 1.81
La 0.0000 0.0000 0.0000  8 C 2.70-2.88
S 0.0000 0.5000 0.5000  4 C 1.81
C 0.1214 0.2464 0.6250  2 S 1.81
La 0.5000 0.7500 0.2500  8 C 2.70-2.88
C 0.6214 0.3750 0.4964  2 S 1.81


The following is a SCAN calculation of LaZr2CS at its PBEsol-relaxed geometry, from Alexandria via LeMat-Bulk.

Total magnetization: 0.2 μB per cell
Final energy: -22.543 eV/atom
N(E_F): 1.03 states/eV per atom
Energy relative to the elements, uncorrected: 2303 meV/atom
Space-group type: P4/mmm (123)

Cell: 5.0934 5.2074 5.2074 Å, 90.00 90.00 90.00°
With the nearest neighbours (Å) after each atom.
Element x y z (fractional)
La 0.0000 0.0000 0.0000  2 S 2.55, 4 Zr 2.60
Zr 0.0000 0.5000 0.0000  2 La 2.60
Zr 0.0000 0.0000 0.5000  2 La 2.60
C 0.5000 0.5000 0.5000  8 Zr 3.64, 4 S 3.68
S 0.5000 0.0000 0.0000  2 La 2.55


The following is a SCAN calculation of La3SbC at its PBEsol-relaxed geometry, from Alexandria via LeMat-Bulk.

Total magnetization: 0.0 μB per cell
Final energy: -36.005 eV/atom
N(E_F): 0.67 states/eV per atom
Energy relative to the elements, uncorrected: -669 meV/atom
Space-group type: Pm-3m (221)

Cell: 5.1128 5.1128 5.1128 Å, 90.00 90.00 90.00°
With the nearest neighbours (Å) after each atom.
Element x y z (fractional)
La 0.0000 0.0000 0.5000  2 C 2.56
C 0.0000 0.0000 0.0000  6 La 2.56
La 0.5000 0.0000 0.0000  2 C 2.56
La 0.0000 0.5000 0.0000  2 C 2.56
Sb 0.5000 0.5000 0.5000  12 La 3.62


The following is a SCAN calculation of LaSbC3 at its PBEsol-relaxed geometry, from Alexandria via LeMat-Bulk.

Total magnetization: 0.0 μB per cell
Final energy: -19.370 eV/atom
N(E_F): 0.59 states/eV per atom
Energy relative to the elements, uncorrected: 2763 meV/atom
Space-group type: Pm-3m (221)

Cell: 4.3948 4.3948 4.3948 Å, 90.00 90.00 90.00°
With the nearest neighbours (Å) after each atom.
Element x y z (fractional)
Sb 0.5000 0.5000 0.5000  12 C 3.11
C 0.0000 0.0000 0.5000  2 La 2.20
C 0.5000 0.0000 0.0000  2 La 2.20
La 0.0000 0.0000 0.0000  6 C 2.20
C 0.0000 0.5000 0.0000  2 La 2.20


The following is a SCAN calculation of LaSb2TeC at its PBEsol-relaxed geometry, from Alexandria via LeMat-Bulk.

Total magnetization: 1.3 μB per cell
Final energy: -31.245 eV/atom
N(E_F): 1.08 states/eV per atom
Energy relative to the elements, uncorrected: 1750 meV/atom
Space-group type: P4/mmm (123)

Cell: 5.9541 6.0309 6.0309 Å, 90.00 90.00 90.00°
With the nearest neighbours (Å) after each atom.
Element x y z (fractional)
Te 0.5000 0.0000 0.0000  2 La 2.98
Sb 0.0000 0.0000 0.5000  2 La 3.02
C 0.5000 0.5000 0.5000  8 Sb 4.24, 4 Te 4.26
La 0.0000 0.0000 0.0000  2 Te 2.98, 4 Sb 3.02
Sb 0.0000 0.5000 0.0000  2 La 3.02


The following is a SCAN calculation of LaSbTe2C at its PBEsol-relaxed geometry, from Alexandria via LeMat-Bulk.

Distance to the lowest polymorph of the same formula: 1.3192 eV per atom
Total magnetization: 0.2 μB per cell
Final energy: -31.504 eV/atom
N(E_F): 0.89 states/eV per atom
Energy relative to the elements, uncorrected: 1490 meV/atom
Space-group type: P4/mmm (123)

Cell: 6.0145 6.0145 6.1153 Å, 90.00 90.00 90.00°
With the nearest neighbours (Å) after each atom.
Element x y z (fractional)
C 0.5000 0.5000 0.5000  4 Sb 4.25, 8 Te 4.29
La 0.0000 0.0000 0.0000  4 Te 3.01, 2 Sb 3.06
Te 0.5000 0.0000 0.0000  2 La 3.01
Te 0.0000 0.5000 0.0000  2 La 3.01
Sb 0.0000 0.0000 0.5000  2 La 3.06